No. 1
Entry from Alexandria: a crystal of NbCd3Ag relaxed with PBEsol (meta-GGA SCAN).

crystal system: cubic
total magnetization: 3.341 μB per formula unit
total DFT energy (no corrections): -149.751 eV/f.u.
E above lowest polymorph: 273.3 meV/atom
formation energy from the elements: 1.198 eV per atom

a b c (Å): 5.2941 5.2941 5.2941
angles (deg): 90.00 90.00 90.00
Space group Pm-3m (No. 221)
Unique sites:
Nb  0.0000  0.0000  0.0000 (multiplicity 1)
Cd  0.0000  0.0000  0.5000 (multiplicity 3)
Ag  0.5000  0.5000  0.5000 (multiplicity 1)


No. 2
Entry from Alexandria: a crystal of Nd2CdAg relaxed with PBEsol (meta-GGA SCAN).

crystal system: cubic
total magnetization: 0.129 μB per formula unit
total DFT energy (no corrections): -150.363 eV/f.u.
formation energy from the elements: -0.354 eV per atom

a b c (Å): 7.4637 7.4637 7.4637
angles (deg): 90.00 90.00 90.00
Space group Fm-3m (No. 225)
Unique sites:
Nd  0.2500  0.2500  0.2500 (multiplicity 8)
Cd  0.0000  0.0000  0.0000 (multiplicity 4)
Ag  0.0000  0.0000  0.5000 (multiplicity 4)